# 1
A plane-wave DFT calculation with meta-GGA SCAN was carried out for SrReRu at its PBEsol-relaxed geometry.

Cell lengths 4.497, 4.497, 4.497 Å; angles 60.00, 60.00, 60.00 degrees
Element x y z (fractional)
1 Re 0.000 0.000 0.000
2 Sr 0.750 0.750 0.750
3 Ru 0.500 0.500 0.500

Values from the calculation:
**Crystal system**: cubic
**ΔE_f**: 2.692 eV/atom
**Energy relative to the lowest polymorph listed for this composition**: 1488 meV/atom
**Space group**: F-43m (216)

# 2
A plane-wave DFT calculation with meta-GGA SCAN was carried out for TaRe2Ru at its PBEsol-relaxed geometry.

Cell lengths 2.728, 4.264, 5.317 Å; angles 90.00, 103.30, 90.00 degrees
Element x y z (fractional)
1 Ta 0.247 0.500 0.743
2 Re 0.768 0.500 0.239
3 Ru 0.419 0.000 0.509
4 Re 0.067 0.000 0.009

Values from the calculation:
**Crystal system**: monoclinic
**ΔE_f**: -0.036 eV/atom
**Space group**: Pm (6)

# 3
A plane-wave DFT calculation with meta-GGA SCAN was carried out for Re2TcRu at its PBEsol-relaxed geometry.

Cell lengths 2.715, 4.691, 4.715 Å; angles 99.50, 90.00, 106.82 degrees
Element x y z (fractional)
1 Tc 0.752 0.504 0.252
2 Re 0.000 0.000 0.004
3 Ru 0.500 0.000 0.500
4 Re 0.248 0.496 0.744

Values from the calculation:
**Crystal system**: monoclinic
**ΔE_f**: 0.039 eV/atom
**Energy relative to the lowest polymorph listed for this composition**: 19 meV/atom
**Space group**: Cm (8)

# 4
A plane-wave DFT calculation with meta-GGA SCAN was carried out for ReTc2Ru at its PBEsol-relaxed geometry.

Cell lengths 3.822, 3.822, 3.829 Å; angles 90.00, 90.00, 90.00 degrees
Element x y z (fractional)
1 Ru 0.000 0.000 0.500
2 Re 0.500 0.500 0.500
3 Tc 0.500 0.000 0.000
4 Tc 0.000 0.500 0.000

Values from the calculation:
**Crystal system**: tetragonal
**ΔE_f**: 0.027 eV/atom
**Energy relative to the lowest polymorph listed for this composition**: 0 meV/atom
**Space group**: P4/mmm (123)

# 5
A plane-wave DFT calculation with meta-GGA SCAN was carried out for Re2TcRu at its PBEsol-relaxed geometry.

Cell lengths 2.715, 4.696, 4.712 Å; angles 99.54, 90.00, 106.80 degrees
Element x y z (fractional)
1 Tc 0.500 0.000 0.000
2 Ru 0.000 0.000 0.500
3 Re 0.748 0.496 0.748
4 Re 0.252 0.504 0.252

Values from the calculation:
**Crystal system**: monoclinic
**ΔE_f**: 0.035 eV/atom
**Energy relative to the lowest polymorph listed for this composition**: 15 meV/atom
**Space group**: C2/m (12)

# 6
A plane-wave DFT calculation with meta-GGA SCAN was carried out for ReTcRu2 at its PBEsol-relaxed geometry.

Cell lengths 2.718, 4.306, 4.694 Å; angles 90.00, 90.00, 90.00 degrees
Element x y z (fractional)
1 Ru 0.000 0.500 0.703
2 Re 0.500 0.500 0.209
3 Tc 0.500 0.000 0.544
4 Ru 0.000 0.000 0.045

Values from the calculation:
**Crystal system**: orthorhombic
**ΔE_f**: -0.097 eV/atom
**Space group**: Pmm2 (25)

# 7
A plane-wave DFT calculation with meta-GGA SCAN was carried out for ReTc2Ru at its PBEsol-relaxed geometry.

Cell lengths 3.825, 3.825, 4.684 Å; angles 114.10, 114.10, 90.00 degrees
Element x y z (fractional)
1 Tc 0.000 0.000 0.000
2 Tc 0.250 0.750 0.500
3 Re 0.500 0.500 0.000
4 Ru 0.750 0.250 0.500

Values from the calculation:
**Crystal system**: tetragonal
**ΔE_f**: 0.031 eV/atom
**Energy relative to the lowest polymorph listed for this composition**: 4 meV/atom
**Space group**: I-4m2 (119)

# 8
A plane-wave DFT calculation with meta-GGA SCAN was carried out for Re2TcRu at its PBEsol-relaxed geometry.

Cell lengths 3.834, 3.841, 3.841 Å; angles 90.00, 90.00, 90.00 degrees
Element x y z (fractional)
1 Tc 0.500 0.000 0.000
2 Ru 0.500 0.500 0.500
3 Re 0.000 0.000 0.500
4 Re 0.000 0.500 0.000

Values from the calculation:
**Crystal system**: tetragonal
**ΔE_f**: 0.020 eV/atom
**Energy relative to the lowest polymorph listed for this composition**: 0 meV/atom
**Space group**: P4/mmm (123)

no.,density (g cm⁻³)
1,9.68
2,18.05
3,16.76
4,14.35
5,16.75
6,14.70
7,14.34
8,16.78